{"formula": "KRe4S8", "functional": "PBE", "state": "relaxed", "spacegroup": "R-3m", "e_form_raw_mev_per_atom": -332, "e_tot_ev_per_atom": -6.79, "lattice_angstrom": [[-4.327, -1.873, 4.137], [-0.901, -0.960, -6.133], [7.134, -6.161, -0.084]], "species": ["Re", "S", "K", "S", "Re", "S", "S", "S", "Re", "S", "S", "S", "Re"], "frac_coords": [[0.000, 0.000, 0.000], [0.043, 0.271, 0.814], [0.000, 0.500, 0.500], [0.457, 0.729, 0.186], [0.000, 0.500, 0.000], [0.043, 0.772, 0.814], [0.957, 0.228, 0.186], [0.457, 0.228, 0.186], [0.500, 0.000, 0.000], [0.543, 0.271, 0.814], [0.957, 0.729, 0.186], [0.543, 0.772, 0.814], [0.500, 0.500, 0.000]]}